{"formula": "Pa2Pb3Se8", "functional": "PBE-GGA", "state": "optimized geometry", "sg": "No. 12", "m_tot_mub_per_fu": 0.00, "raw_formation_energy_kj_per_mol_atoms": -89.57, "energy_ev_per_atom": -5.39, "cell": [[-4.0928, -0.8889, 5.8344], [4.9623, 2.0527, 6.6568], [-0.6621, 7.7403, 3.5778]], "species": ["Pa", "Pa", "Pb", "Pb", "Pb", "Se", "Se", "Se", "Se", "Se", "Se", "Se", "Se"], "frac_coords": [[0.9758, 0.2552, 0.2552], [0.0242, 0.7448, 0.7448], [0.5000, 0.0000, 0.0000], [0.0000, 0.2561, 0.7439], [0.0000, 0.7439, 0.2561], [0.7847, 0.6376, 0.6376], [0.2153, 0.3624, 0.3624], [0.7543, 0.1363, 0.1363], [0.2457, 0.8637, 0.8637], [0.7724, 0.6221, 0.0906], [0.7724, 0.0906, 0.6221], [0.2276, 0.9094, 0.3779], [0.2276, 0.3779, 0.9094]]}

{"formula": "CrAu", "functional": "PBE-GGA", "state": "optimized geometry", "sg": "No. 194", "m_tot_mub_per_fu": 4.41, "dos_at_fermi_per_ev_atom": 1.0753, "energy_ev_per_atom": -5.92, "formation_enthalpy_0k_kcal_per_mol_atoms": 12.3, "cell": [[4.1406, 0.0000, 0.0000], [-2.0703, 3.5859, 0.0000], [0.0000, 0.0000, 5.5029]], "species": ["Au", "Au", "Cr", "Cr"], "frac_coords": [[0.0000, 0.0000, 0.0000], [0.0000, 0.0000, 0.5000], [0.3333, 0.6667, 0.2500], [0.6667, 0.3333, 0.7500]]}

{"formula": "SrCa2YCo", "functional": "PBE-GGA", "state": "optimized geometry", "sg": "No. 123", "m_tot_mub_per_fu": 0.00, "dos_at_fermi_per_ev_atom": 0.7797, "energy_ev_per_atom": -3.79, "formation_enthalpy_0k_kcal_per_mol_atoms": 1.4, "cell": [[-1.0028, 4.5552, 3.2083], [-2.5334, -3.2762, 3.8597], [4.6112, -0.6988, 2.4335]], "species": ["Y", "Sr", "Ca", "Ca", "Co"], "frac_coords": [[0.0000, 0.0000, 0.5000], [0.5000, 0.5000, 0.5000], [0.0000, 0.5000, 0.0000], [0.5000, 0.0000, 0.0000], [0.0000, 0.0000, 0.0000]]}

{"formula": "RbNbPd2Br", "functional": "PBE-GGA", "state": "optimized geometry", "sg": "No. 38", "m_tot_mub_per_fu": 0.00, "dos_at_fermi_per_ev_atom": 0.6281, "raw_formation_energy_kj_per_mol_atoms": -19.07, "energy_ev_per_atom": -4.82, "cell": [[-0.6897, 2.0578, 3.0527], [-2.4973, -1.9181, 0.7288], [11.6479, -11.2770, 10.2329]], "species": ["Nb", "Nb", "Br", "Br", "Rb", "Rb", "Pd", "Pd", "Pd", "Pd"], "frac_coords": [[0.0000, 0.0000, 0.8547], [0.0000, 0.5000, 0.3547], [0.0000, 0.0000, 0.4693], [0.0000, 0.5000, 0.9693], [0.5000, 0.0000, 0.0965], [0.5000, 0.5000, 0.5965], [0.0000, 0.0000, 0.7190], [0.0000, 0.5000, 0.2190], [0.5000, 0.0000, 0.2921], [0.5000, 0.5000, 0.7921]]}

{"formula": "KSr4Re", "functional": "PBE-GGA", "state": "optimized geometry", "sg": "No. 216", "m_tot_mub_per_fu": 4.36, "dos_at_fermi_per_ev_atom": 1.2865, "energy_ev_per_atom": -2.15, "formation_enthalpy_0k_kcal_per_mol_atoms": 28.3, "cell": [[5.2130, -1.8619, 5.0343], [-0.6284, 2.3436, 7.0780], [-1.6191, -4.8873, 5.4294]], "species": ["K", "Sr", "Sr", "Sr", "Sr", "Re"], "frac_coords": [[0.7500, 0.7500, 0.7500], [0.8786, 0.3738, 0.3738], [0.3738, 0.3738, 0.8786], [0.3738, 0.8786, 0.3738], [0.3738, 0.3738, 0.3738], [0.0000, 0.0000, 0.0000]]}

{"formula": "NbTcTeN2", "functional": "PBE-GGA", "state": "optimized geometry", "sg": "No. 123", "m_tot_mub_per_fu": 3.98, "dos_at_fermi_per_ev_atom": 1.0417, "raw_formation_energy_kj_per_mol_atoms": 81.92, "energy_ev_per_atom": -7.20, "cell": [[-2.3093, 3.3045, 0.1222], [-2.9623, -2.0011, -1.8675], [-2.1462, -1.6928, 5.2183]], "species": ["Nb", "Te", "Tc", "N", "N"], "frac_coords": [[0.0000, 0.0000, 0.0000], [0.0000, 0.0000, 0.5000], [0.5000, 0.5000, 0.5000], [0.0000, 0.5000, 0.0000], [0.5000, 0.0000, 0.0000]]}

{"formula": "Ac2BiPPt6", "functional": "PBE-GGA", "state": "optimized geometry", "sg": "No. 59", "m_tot_mub_per_fu": 0.00, "dos_at_fermi_per_ev_atom": 0.3315, "energy_ev_per_atom": -6.22, "formation_enthalpy_0k_kcal_per_mol_atoms": -19.5, "cell": [[-5.3582, 1.4973, 1.4967], [-3.0163, -2.9064, -7.8913], [-1.2626, -7.9148, 3.3977]], "species": ["Ac", "Ac", "Ac", "Ac", "Bi", "Bi", "P", "P", "Pt", "Pt", "Pt", "Pt", "Pt", "Pt", "Pt", "Pt", "Pt", "Pt", "Pt", "Pt"], "frac_coords": [[0.5000, 0.7420, 0.2506], [0.0000, 0.2580, 0.7506], [0.5000, 0.7420, 0.7494], [0.0000, 0.2580, 0.2494], [0.0000, 0.6979, 0.5000], [0.5000, 0.3021, 0.0000], [0.5000, 0.2270, 0.5000], [0.0000, 0.7730, 0.0000], [0.5000, 0.1108, 0.2513], [0.5000, 0.1108, 0.7487], [0.0000, 0.8892, 0.2487], [0.0000, 0.8892, 0.7513], [0.2437, 0.0055, 0.5000], [0.7563, 0.0055, 0.5000], [0.2638, 0.4431, 0.5000], [0.7362, 0.4431, 0.5000], [0.7638, 0.5569, 0.0000], [0.2362, 0.5569, 0.0000], [0.2563, 0.9945, 0.0000], [0.7437, 0.9945, 0.0000]]}

{"formula": "La3Er2Sn3", "functional": "PBE-GGA", "state": "optimized geometry", "sg": "No. 193", "m_tot_mub_per_fu": 0.47, "dos_at_fermi_per_ev_atom": 1.0658, "energy_ev_per_atom": -5.19, "formation_enthalpy_0k_kcal_per_mol_atoms": -16.2, "cell": [[6.6926, 0.0000, 0.0000], [0.0000, 8.0541, -4.6500], [0.0000, 0.0000, 9.3000]], "species": ["La", "La", "La", "La", "La", "La", "Er", "Er", "Er", "Er", "Sn", "Sn", "Sn", "Sn", "Sn", "Sn"], "frac_coords": [[0.7500, 0.2458, 0.0000], [0.7500, 0.7542, 0.7542], [0.7500, 0.0000, 0.2458], [0.2500, 0.7542, 0.0000], [0.2500, 0.2458, 0.2458], [0.2500, 0.0000, 0.7542], [0.0000, 0.3333, 0.6667], [0.5000, 0.6667, 0.3333], [0.0000, 0.6667, 0.3333], [0.5000, 0.3333, 0.6667], [0.7500, 0.6016, 0.0000], [0.7500, 0.3984, 0.3984], [0.7500, 0.0000, 0.6016], [0.2500, 0.3984, 0.0000], [0.2500, 0.6016, 0.6016], [0.2500, 0.0000, 0.3984]]}

{"formula": "La2ReRu", "functional": "PBE-GGA", "state": "optimized geometry", "sg": "No. 99", "m_tot_mub_per_fu": 0.00, "dos_at_fermi_per_ev_atom": 1.2332, "energy_ev_per_atom": -7.70, "formation_enthalpy_0k_kcal_per_mol_atoms": 4.4, "cell": [[-1.2821, 0.5099, 2.8206], [2.6911, -0.8503, 1.3764], [2.9900, 9.0226, -0.2720]], "species": ["La", "La", "Re", "Ru"], "frac_coords": [[0.0000, 0.0000, 0.9381], [0.5000, 0.5000, 0.3137], [0.0000, 0.0000, 0.5534], [0.5000, 0.5000, 0.6948]]}

{"formula": "SrSc2Cl", "functional": "PBE-GGA", "state": "optimized geometry", "sg": "No. 166", "m_tot_mub_per_fu": 0.00, "dos_at_fermi_per_ev_atom": 1.9889, "raw_formation_energy_kj_per_mol_atoms": -22.19, "energy_ev_per_atom": -4.28, "cell": [[2.1190, 0.0000, 9.4106], [-1.0595, 1.8351, 9.4106], [-1.0595, -1.8351, 9.4106]], "species": ["Sc", "Sc", "Sr", "Cl"], "frac_coords": [[0.8835, 0.8835, 0.8835], [0.1165, 0.1165, 0.1165], [0.0000, 0.0000, 0.0000], [0.5000, 0.5000, 0.5000]]}

{"formula": "Tc2PAu", "functional": "PBE-GGA", "state": "optimized geometry", "sg": "No. 166", "m_tot_mub_per_fu": 0.00, "dos_at_fermi_per_ev_atom": 0.7364, "energy_ev_per_atom": -7.31, "formation_enthalpy_0k_kcal_per_mol_atoms": 1.0, "cell": [[-3.9627, -4.2633, 2.2784], [-0.8842, -4.6242, 4.1116], [-3.2006, -2.0071, 4.9797]], "species": ["Tc", "Tc", "P", "Au"], "frac_coords": [[0.7241, 0.7241, 0.7241], [0.2759, 0.2759, 0.2759], [0.0000, 0.0000, 0.0000], [0.5000, 0.5000, 0.5000]]}

{"formula": "Sm5Mg2Co2", "functional": "PBE-GGA", "state": "optimized geometry", "sg": "No. 64", "m_tot_mub_per_fu": 0.00, "dos_at_fermi_per_ev_atom": 0.8804, "energy_ev_per_atom": -4.60, "formation_enthalpy_0k_kcal_per_mol_atoms": -1.0, "cell": [[-4.3289, -5.7169, -1.4947], [4.2292, -1.6119, -6.0834], [2.8537, -7.9210, 4.0827]], "species": ["Sm", "Sm", "Sm", "Sm", "Sm", "Sm", "Sm", "Sm", "Sm", "Sm", "Mg", "Mg", "Mg", "Mg", "Co", "Co", "Co", "Co"], "frac_coords": [[0.0000, 0.0000, 0.0000], [0.5000, 0.5000, 0.0000], [0.4252, 0.1902, 0.7749], [0.7998, 0.8098, 0.7749], [0.2998, 0.6902, 0.7749], [0.9252, 0.3098, 0.7749], [0.5748, 0.8098, 0.2251], [0.2002, 0.1902, 0.2251], [0.7002, 0.3098, 0.2251], [0.0748, 0.6902, 0.2251], [0.2302, 0.0000, 0.5397], [0.7302, 0.5000, 0.5397], [0.7698, 0.0000, 0.4603], [0.2698, 0.5000, 0.4603], [0.1075, 0.3872, 0.0000], [0.8925, 0.6128, 0.0000], [0.3925, 0.8872, 0.0000], [0.6075, 0.1128, 0.0000]]}